# 1
## CaHf2BAu (SCAN)

Data for CaHf2BAu at its PBEsol-relaxed geometry.

Output
crystal system	tetragonal

Structure (POSCAR):
```
CaHf2BAu
1.0
-0.1381 2.2462 3.5441
-0.3915 -4.1320 2.6036
4.8812 -0.2448 0.3454
Hf Ca B Au
2 1 1 1
Direct
0.0000 0.0000 0.5000
0.0000 0.5000 0.0000
0.0000 0.0000 0.0000
0.5000 0.0000 0.0000
0.5000 0.5000 0.5000
```


# 2
## Mg3NiB (SCAN)

Data for Mg3NiB at its PBEsol-relaxed geometry.

Output
crystal system	cubic

Structure (POSCAR):
```
Mg3NiB
1.0
-1.2939 0.1439 -4.2058
-3.3628 -2.6807 0.9428
-2.5300 3.4895 0.8977
Ni Mg B
1 3 1
Direct
0.5000 0.5000 0.5000
0.0000 0.5000 0.0000
0.0000 0.0000 0.5000
0.5000 0.0000 0.0000
0.0000 0.0000 0.0000
```


# 3
## SrMn (SCAN)

Data for SrMn at its PBEsol-relaxed geometry.

Output
crystal system	tetragonal

Structure (POSCAR):
```
SrMn
1.0
-2.3659 2.1428 -0.0969
-1.6194 -1.8788 -2.0115
-3.9698 -4.0668 6.9946
Mn Sr
2 2
Direct
0.5000 0.0000 0.0261
0.0000 0.5000 0.9739
0.5000 0.0000 0.7026
0.0000 0.5000 0.2974
```


# 4
## ZrTePdI2 (SCAN)

Data for ZrTePdI2 at its PBEsol-relaxed geometry.

Output
uncorrected formation energy	0.10	eV/atom
crystal system	tetragonal

Structure (POSCAR):
```
ZrTePdI2
1.0
5.5096 0.0000 0.0000
0.0000 5.5842 0.0000
0.0000 0.0000 5.5842
I Te Zr Pd
2 1 1 1
Direct
0.0000 0.0000 0.5000
0.0000 0.5000 0.0000
0.5000 0.0000 0.0000
0.0000 0.0000 0.0000
0.5000 0.5000 0.5000
```


no.,E (eV per atom),total magnetization (μB/atom)
1,-40.22,0.00
2,-7.22,0.12
3,-19.49,0.00
4,-34.74,0.05